A relaxed Th2Ga3Cu4Ge crystal. Source: the Alexandria database, functional PBE.

Geometry as POSCAR:
```
Th2Ga3Cu4Ge
1.0
4.257 0.000 0.000
0.000 4.257 0.000
0.000 0.000 9.936
Cu Th Ge Ga
4 2 1 3
direct
0.000 0.000 0.000
0.000 0.500 0.371
0.500 0.000 0.629
0.500 0.500 0.000
0.000 0.500 0.756
0.500 0.000 0.244
0.500 0.500 0.500
0.000 0.500 0.127
0.000 0.000 0.500
0.500 0.000 0.873
```

DOS at the Fermi energy (states/eV/cell): 5.55
Energy (eV/cell): -49.3

=====

A relaxed SrScZnPt2 crystal. Source: the Alexandria database, functional PBE.

Geometry as POSCAR:
```
SrScZnPt2
1.0
4.245 0.000 0.000
0.000 4.245 0.000
-2.122 -2.122 6.013
Pt Sr Sc Zn
2 1 1 1
direct
0.613 0.613 0.226
0.387 0.387 0.774
0.000 0.000 0.000
0.750 0.250 0.500
0.250 0.750 0.500
```

DOS at the Fermi energy (states/eV/cell): 3.03
Energy (eV/cell): -25.9

=====

A relaxed BaAs2Rh crystal. Source: the Alexandria database, functional PBE.

Geometry as POSCAR:
```
BaAs2Rh
1.0
6.345 0.024 0.015
4.878 4.058 0.015
4.878 1.774 3.650
Ba Rh As
1 1 2
direct
0.250 0.250 0.250
0.750 0.750 0.750
0.460 0.460 0.460
0.040 0.040 0.040
```

DOS at the Fermi energy (states/eV/cell): 1.36
Energy (eV/cell): -21.6

=====

A relaxed Sr2SCl2 crystal. Source: the Alexandria database, functional PBE.

Geometry as POSCAR:
```
Sr2SCl2
1.0
0.089 4.805 5.834
-8.122 -1.717 1.539
2.835 -5.367 8.975
Sr S Cl
8 4 8
direct
0.276 0.625 0.496
0.238 0.879 0.844
0.224 0.125 0.504
0.738 0.621 0.844
0.762 0.121 0.156
0.776 0.875 0.496
0.262 0.379 0.156
0.724 0.375 0.504
0.482 0.355 0.339
0.018 0.855 0.661
0.982 0.145 0.339
0.518 0.645 0.661
0.996 0.391 0.655
0.371 0.697 0.027
0.871 0.803 0.027
0.004 0.609 0.345
0.496 0.109 0.655
0.129 0.197 0.973
0.629 0.303 0.973
0.504 0.891 0.345
```

DOS at the Fermi energy (states/eV/cell): 0.00
E_form (uncorrected) (kJ per mole of atoms): -219
Energy (eV/cell): -90.2

=====

A relaxed CaMo2OsPt crystal. Source: the Alexandria database, functional PBE.

Geometry as POSCAR:
```
CaMo2OsPt
1.0
4.781 0.000 0.000
0.000 5.040 0.000
0.000 0.000 4.781
Os Mo Ca Pt
1 2 1 1
direct
0.500 0.500 0.500
0.500 0.000 0.000
0.000 0.000 0.500
0.000 0.500 0.000
0.000 0.000 0.000
```

DOS at the Fermi energy (states/eV/cell): 9.90
Energy (eV/cell): -32.0

=====

A relaxed LiTaRe2 crystal. Source: the Alexandria database, functional PBE.

Geometry as POSCAR:
```
LiTaRe2
1.0
0.000 3.110 3.110
3.110 0.000 3.110
3.110 3.110 0.000
Re Li Ta
2 1 1
direct
0.250 0.250 0.250
0.750 0.750 0.750
0.000 0.000 0.000
0.500 0.500 0.500
```

Energy relative to the lowest polymorph listed for this composition (eV/atom): 0.162
DOS at the Fermi energy (states/eV/cell): 3.42
Energy (eV/cell): -37.6

=====

A relaxed KHSe2 crystal. Source: the Alexandria database, functional PBE.

Geometry as POSCAR:
```
KHSe2
1.0
4.516 -0.438 2.281
0.815 -3.756 3.318
3.098 -3.835 -1.217
Se K H
2 1 1
direct
0.250 0.250 0.250
0.750 0.750 0.750
0.500 0.500 0.500
0.000 0.000 0.000
```

Energy relative to the lowest polymorph listed for this composition (eV/atom): 1.078
DOS at the Fermi energy (states/eV/cell): 4.36
Energy (eV/cell): -8.9

=====

A relaxed NaPPb2 crystal. Source: the Alexandria database, functional PBE.

Geometry as POSCAR:
```
NaPPb2
1.0
8.416 0.000 0.000
0.000 8.416 0.000
4.208 4.208 3.234
Na P Pb
2 2 4
direct
0.500 0.500 0.000
0.250 0.750 0.500
0.750 0.250 0.500
0.000 0.000 0.000
0.679 0.125 0.250
0.375 0.321 0.750
0.071 0.625 0.250
0.875 0.929 0.750
```

DOS at the Fermi energy (states/eV/cell): 1.30
Energy (eV/cell): -28.5

=====

A relaxed SnHOs2 crystal. Source: the Alexandria database, functional PBE.

Geometry as POSCAR:
```
SnHOs2
1.0
-0.127 -3.481 2.920
0.982 -3.869 -2.481
5.536 -0.365 2.216
Os H Sn
4 2 2
direct
0.614 0.301 0.315
0.204 0.613 0.703
0.103 0.148 0.558
0.656 0.489 0.927
0.876 0.730 0.959
0.735 0.164 0.770
0.752 0.754 0.456
0.253 0.074 0.052
```

Energy relative to the lowest polymorph listed for this composition (eV/atom): 0.080
DOS at the Fermi energy (states/eV/cell): 4.38
Energy (eV/cell): -56.3

=====

A relaxed La12Sn5Au3 crystal. Source: the Alexandria database, functional PBE.

Geometry as POSCAR:
```
La12Sn5Au3
1.0
15.902 0.000 0.000
-5.301 14.993 0.000
-5.301 -7.496 12.984
La Sn Au
48 20 12
direct
0.269 0.866 0.937
0.563 0.333 0.929
0.769 0.333 0.903
0.071 0.167 0.437
0.833 0.929 0.063
0.667 0.231 0.597
0.063 0.429 0.833
0.097 0.167 0.231
0.769 0.437 0.366
0.231 0.563 0.634
0.071 0.903 0.134
0.667 0.437 0.571
0.937 0.366 0.269
0.866 0.597 0.929
0.833 0.903 0.269
0.134 0.731 0.563
0.063 0.634 0.731
0.597 0.731 0.667
0.437 0.769 0.866
0.903 0.071 0.634
0.731 0.597 0.167
0.403 0.269 0.333
0.929 0.097 0.866
0.097 0.929 0.366
0.269 0.403 0.833
0.429 0.063 0.333
0.903 0.833 0.769
0.634 0.063 0.231
0.597 0.866 0.429
0.571 0.937 0.667
0.937 0.571 0.167
0.333 0.563 0.429
0.929 0.833 0.563
0.429 0.366 0.597
0.333 0.769 0.403
0.731 0.134 0.063
0.134 0.403 0.071
0.366 0.429 0.097
0.167 0.071 0.937
0.563 0.231 0.134
0.231 0.667 0.097
0.403 0.134 0.571
0.437 0.667 0.071
0.571 0.634 0.403
0.366 0.937 0.769
0.167 0.097 0.731
0.866 0.269 0.437
0.634 0.571 0.903
0.750 0.125 0.875
0.375 0.125 0.750
0.250 0.375 0.625
0.875 0.250 0.625
0.000 0.500 0.000
0.500 0.000 0.500
0.500 0.000 0.000
0.375 0.250 0.125
0.625 0.875 0.250
0.500 0.500 0.000
0.250 0.875 0.125
0.000 0.500 0.500
0.000 0.000 0.500
0.750 0.625 0.375
0.875 0.625 0.750
0.625 0.750 0.875
0.000 0.000 0.000
0.500 0.500 0.500
0.125 0.750 0.375
0.125 0.375 0.250
0.875 0.750 0.125
0.750 0.875 0.625
0.625 0.375 0.750
0.875 0.125 0.250
0.125 0.250 0.875
0.750 0.375 0.125
0.125 0.875 0.750
0.375 0.625 0.250
0.375 0.750 0.625
0.625 0.250 0.375
0.250 0.125 0.375
0.250 0.625 0.875
```

DOS at the Fermi energy (states/eV/cell): 97.44
Energy (eV/cell): -370.6

=====

A relaxed Pd2PtI8 crystal. Source: the Alexandria database, functional PBE.

Geometry as POSCAR:
```
Pd2PtI8
1.0
-2.183 -6.511 -4.850
2.009 -0.977 6.686
-9.407 4.906 -0.221
I Pt Pd
8 1 2
direct
0.229 0.275 0.646
0.763 0.315 0.530
0.223 0.937 0.866
0.777 0.063 0.134
0.771 0.725 0.354
0.234 0.113 0.237
0.237 0.685 0.470
0.766 0.887 0.763
0.000 0.000 0.000
0.995 0.803 0.600
0.005 0.197 0.400
```

Energy relative to the lowest polymorph listed for this composition (eV/atom): 0.000
DOS at the Fermi energy (states/eV/cell): 6.57
E_form (uncorrected) (kJ per mole of atoms): -12
Energy (eV/cell): -30.2

=====

A relaxed Ac2Pm2YHo crystal. Source: the Alexandria database, functional PBE.

Geometry as POSCAR:
```
Ac2Pm2YHo
1.0
-0.068 5.645 1.677
-2.374 -2.004 6.650
9.622 -0.830 3.185
Ac Y Pm Ho
4 2 4 2
direct
0.000 0.258 0.176
0.500 0.508 0.000
0.000 0.758 0.824
0.500 0.008 0.000
0.000 0.508 0.500
0.000 0.008 0.500
0.000 0.258 0.825
0.500 0.758 0.655
0.000 0.758 0.175
0.500 0.258 0.345
0.500 0.757 0.338
0.500 0.257 0.662
```

DOS at the Fermi energy (states/eV/cell): 19.93
Energy (eV/cell): -56.5

=====

A relaxed TlC2 crystal. Source: the Alexandria database, functional PBE.

Geometry as POSCAR:
```
TlC2
1.0
-1.303 2.366 -0.074
-1.043 -2.074 1.383
8.633 5.196 14.299
C Tl
4 2
direct
0.667 0.333 0.000
0.667 0.333 0.500
0.333 0.667 0.000
0.333 0.667 0.500
0.667 0.333 0.250
0.333 0.667 0.750
```

Energy relative to the lowest polymorph listed for this composition (eV/atom): 0.023
DOS at the Fermi energy (states/eV/cell): 2.44
Energy (eV/cell): -36.1

=====

A relaxed LiPr2Cd4 crystal. Source: the Alexandria database, functional PBE.

Geometry as POSCAR:
```
LiPr2Cd4
1.0
-3.458 -2.181 2.869
-2.984 -3.511 -1.926
1.279 -9.685 2.814
Cd Li Pr
4 1 2
direct
0.605 0.605 0.093
0.350 0.350 0.474
0.650 0.650 0.526
0.395 0.395 0.907
0.000 0.000 0.000
0.141 0.141 0.287
0.859 0.859 0.713
```

DOS at the Fermi energy (states/eV/cell): 4.45
Energy (eV/cell): -17.3

=====

A relaxed Mg2ScAs crystal. Source: the Alexandria database, functional PBE.

Geometry as POSCAR:
```
Mg2ScAs
1.0
5.476 -0.002 0.000
2.298 4.971 0.000
-3.887 -2.484 2.951
Mg Sc As
2 1 1
direct
0.000 0.000 0.000
0.250 0.750 0.500
0.500 0.500 0.000
0.750 0.250 0.500
```

DOS at the Fermi energy (states/eV/cell): 3.27
Energy (eV/cell): -15.6

=====

A relaxed LiPtS6 crystal. Source: the Alexandria database, functional PBE.

Geometry as POSCAR:
```
LiPtS6
1.0
6.220 1.460 1.646
4.134 6.035 2.308
0.411 0.141 5.681
Pt S Li
1 6 1
direct
0.000 0.000 0.000
0.552 0.699 0.054
0.848 0.424 0.831
0.158 0.966 0.567
0.842 0.034 0.433
0.152 0.576 0.169
0.448 0.301 0.946
0.500 0.500 0.500
```

DOS at the Fermi energy (states/eV/cell): 4.56
E_form (uncorrected) (kJ per mole of atoms): -28
Energy (eV/cell): -35.0